This record from Alexandria describes KReMo after structural relaxation. The functional is GGA-PBEsol.

## Properties
- DFT formation energy (eV per atom) = 1.01
- DOS(E_F) (states/eV/atom) = 1.000

a b c (Å): 3.104 3.104 7.403
angles (deg): 102.10 102.10 90.00
Atoms (fractional coordinates):
Re (0.296, 0.296, 0.593)
Mo (0.710, 0.710, 0.421)
K (0.993, 0.993, 0.986)